Entry P
Li3ZnO4 PBE-GGA optimized geometry; crystal system = monoclinic; space group = P2/m
1.0
2.741 0.000 0.000
0.000 10.539 0.000
-0.013 0.000 5.413
Li Zn O
6 2 8
direct
0.000 0.115 0.000
0.000 0.131 0.500
0.000 0.372 0.500
0.000 0.628 0.500
0.000 0.869 0.500
0.000 0.885 0.000
0.000 0.358 0.000
0.000 0.642 0.000
0.500 0.068 0.251
0.500 0.068 0.749
0.500 0.339 0.251
0.500 0.339 0.749
0.500 0.661 0.251
0.500 0.661 0.749
0.500 0.932 0.251
0.500 0.932 0.749

---

Entry Q
Li3ZnO4 PBE-GGA optimized geometry; crystal system = monoclinic; space group = P2
1.0
4.967 0.000 0.000
0.000 11.559 0.000
-1.690 0.000 4.726
Li Zn O
12 4 16
direct
0.000 0.000 0.000
0.000 0.120 0.500
0.000 0.242 0.000
0.000 0.374 0.500
0.000 0.505 0.000
0.000 0.629 0.500
0.000 0.753 0.000
0.000 0.879 0.500
0.500 0.120 0.000
0.500 0.628 0.000
0.500 0.878 0.000
0.500 0.999 0.500
0.500 0.243 0.500
0.500 0.374 0.000
0.500 0.504 0.500
0.500 0.755 0.500
0.242 0.000 0.758
0.249 0.125 0.258
0.252 0.873 0.251
0.253 0.628 0.259
0.257 0.374 0.253
0.259 0.496 0.751
0.262 0.753 0.737
0.263 0.252 0.750
0.737 0.252 0.250
0.738 0.753 0.263
0.741 0.496 0.249
0.743 0.374 0.747
0.747 0.628 0.741
0.748 0.873 0.749
0.751 0.125 0.742
0.758 0.000 0.242

---

Entry R
Li3ZnO4 PBE-GGA optimized geometry; crystal system = monoclinic; space group = C2/m
1.0
4.715 -1.472 0.000
4.715 1.472 0.000
-0.948 0.000 4.849
Li Zn O
3 1 4
direct
0.000 0.000 0.000
0.250 0.250 0.759
0.750 0.750 0.241
0.500 0.500 0.500
0.122 0.122 0.379
0.378 0.378 0.138
0.622 0.622 0.862
0.878 0.878 0.621

---

If we sort the structures by their calculated energies, the order from most to least stable is entry P, entry R, entry Q.

---

Entry P
LiZrO4 PBE-GGA optimized geometry; crystal system = monoclinic; space group = Cm
1.0
3.235 -3.359 0.000
3.235 3.359 0.000
-0.009 0.000 3.247
Li Zr O
1 1 4
direct
0.000 0.000 0.000
0.500 0.500 0.549
0.192 0.809 0.492
0.294 0.294 0.049
0.706 0.706 0.051
0.809 0.192 0.492

---

Entry Q
LiZrO4 PBE-GGA optimized geometry; crystal system = monoclinic; space group = P2/c
1.0
4.557 0.000 0.000
0.000 5.848 0.000
-0.171 0.000 5.138
Li Zr O
2 2 8
direct
0.000 0.185 0.250
0.000 0.815 0.750
0.500 0.317 0.750
0.500 0.683 0.250
0.172 0.103 0.608
0.172 0.897 0.108
0.295 0.382 0.111
0.295 0.618 0.611
0.705 0.382 0.389
0.705 0.618 0.889
0.828 0.103 0.892
0.828 0.897 0.392

---

If we sort the structures by their calculated energies, the order from most to least stable is entry P, entry Q.

---

Entry P
Li6Zr4O11 PBE-GGA optimized geometry; crystal system = triclinic; space group = P1
1.0
5.314 0.000 0.000
1.168 5.285 0.000
2.061 0.887 9.230
Li Zr O
6 4 11
direct
0.000 0.000 0.000
0.011 0.454 0.093
0.332 0.323 0.746
0.571 0.913 0.559
0.698 0.487 0.395
0.814 0.985 0.288
0.243 0.198 0.350
0.389 0.710 0.186
0.659 0.656 0.867
0.884 0.225 0.659
0.052 0.565 0.289
0.146 0.073 0.167
0.271 0.218 0.568
0.308 0.632 0.981
0.492 0.838 0.359
0.574 0.345 0.247
0.625 0.006 0.762
0.625 0.550 0.657
0.746 0.768 0.043
0.868 0.117 0.464
0.960 0.327 0.855

---

Entry Q
Li6Zr4O11 PBE-GGA optimized geometry; crystal system = triclinic; space group = P1
1.0
5.365 0.000 0.000
1.062 5.302 0.000
2.046 -0.215 8.980
Li Zr O
6 4 11
direct
0.000 0.000 0.000
0.115 0.462 0.852
0.243 0.949 0.700
0.509 0.531 0.474
0.650 0.005 0.302
0.867 0.569 0.135
0.061 0.266 0.379
0.429 0.265 0.067
0.570 0.740 0.897
0.837 0.846 0.569
0.043 0.175 0.181
0.202 0.949 0.490
0.232 0.613 0.008
0.333 0.103 0.882
0.417 0.352 0.291
0.533 0.677 0.681
0.653 0.906 0.087
0.695 0.180 0.502
0.760 0.394 0.964
0.849 0.638 0.383
0.943 0.794 0.772

---

If we sort the structures by their calculated energies, the order from most to least stable is entry P, entry Q.